Crystalline Pm3Si2Ge3 at its relaxed geometry, computed with PBE-GGA.

Cell lengths 5.8866, 5.8866, 16.0345 Å; angles 90.00, 90.00, 139.38 degrees
Fractional coordinates of all 16 atoms:
Pm: 0.0823 0.9177 0.7500
Pm: 0.3666 0.6334 0.5887
Pm: 0.3666 0.6334 0.9113
Pm: 0.6334 0.3666 0.0887
Pm: 0.6334 0.3666 0.4113
Pm: 0.9177 0.0823 0.2500
Si: 0.3360 0.6640 0.1273
Si: 0.3360 0.6640 0.3727
Si: 0.6640 0.3360 0.6273
Si: 0.6640 0.3360 0.8727
Ge: 0.0836 0.9164 0.5571
Ge: 0.0836 0.9164 0.9429
Ge: 0.1914 0.8086 0.2500
Ge: 0.8086 0.1914 0.7500
Ge: 0.9164 0.0836 0.0571
Ge: 0.9164 0.0836 0.4429

Properties
The raw formation energy comes out at -0.636 eV/atom. The calculation puts the mass density at 6510 kg/m³.

---

Crystalline KBeAs2Br at its relaxed geometry, computed with PBE-GGA.

Cell lengths 7.2499, 7.2499, 6.0061 Å; angles 90.00, 90.00, 90.00 degrees
Fractional coordinates of all 5 atoms:
K: 0.0000 0.0000 0.0000
Be: 0.5000 0.5000 0.5000
As: 0.0000 0.5000 0.0000
As: 0.5000 0.0000 0.0000
Br: 0.0000 0.0000 0.5000

Properties
The raw formation energy comes out at 1.351 eV/atom. The calculation puts the mass density at 1462 kg/m³. The energy above the most stable polymorph in this dataset comes out at 1537.7 meV/atom.

---

Crystalline Zr2CrNi at its relaxed geometry, computed with PBE-GGA.

Cell lengths 3.1275, 3.1275, 26.1938 Å; angles 90.00, 90.00, 120.00 degrees
Fractional coordinates of all 12 atoms:
Zr: 0.0000 0.0000 0.0000
Zr: 0.0000 0.0000 0.2334
Zr: 0.3333 0.6667 0.6667
Zr: 0.3333 0.6667 0.9001
Zr: 0.6667 0.3333 0.3333
Zr: 0.6667 0.3333 0.5668
Cr: 0.0000 0.0000 0.7553
Cr: 0.3333 0.6667 0.4219
Cr: 0.6667 0.3333 0.0886
Ni: 0.0000 0.0000 0.4922
Ni: 0.3333 0.6667 0.1588
Ni: 0.6667 0.3333 0.8255

Properties
The calculation puts the mass density at 6582 kg/m³. The energy above the most stable polymorph in this dataset comes out at 429.8 meV/atom. Its formation energy is 7.299 kcal/mol of atoms.

---

Crystalline AcDyZnCo at its relaxed geometry, computed with PBE-GGA.

Cell lengths 7.2377, 7.2377, 7.2377 Å; angles 90.00, 90.00, 90.00 degrees
Fractional coordinates of all 16 atoms:
Ac: 0.0000 0.0000 0.0000
Ac: 0.0000 0.5000 0.5000
Ac: 0.5000 0.0000 0.5000
Ac: 0.5000 0.5000 0.0000
Dy: 0.0000 0.0000 0.5000
Dy: 0.0000 0.5000 0.0000
Dy: 0.5000 0.0000 0.0000
Dy: 0.5000 0.5000 0.5000
Zn: 0.2500 0.2500 0.7500
Zn: 0.2500 0.7500 0.2500
Zn: 0.7500 0.2500 0.2500
Zn: 0.7500 0.7500 0.7500
Co: 0.2500 0.2500 0.2500
Co: 0.2500 0.7500 0.7500
Co: 0.7500 0.2500 0.7500
Co: 0.7500 0.7500 0.2500

Properties
The calculation puts the mass density at 9002 kg/m³. Its formation energy is -1.149 kcal/mol of atoms.

---

Crystalline Na2MgTl5Cd at its relaxed geometry, computed with PBE-GGA.

Cell lengths 9.5882, 9.5882, 10.7115 Å; angles 90.00, 90.00, 148.34 degrees
Fractional coordinates of all 18 atoms:
Na: 0.0881 0.9119 0.5000
Na: 0.1241 0.8759 0.9146
Na: 0.8759 0.1241 0.4146
Na: 0.9119 0.0881 0.0000
Mg: 0.2002 0.7998 0.2229
Mg: 0.7998 0.2002 0.7229
Tl: 0.0250 0.9750 0.2178
Tl: 0.2517 0.7483 0.5564
Tl: 0.3070 0.6930 0.8889
Tl: 0.3743 0.6257 0.1900
Tl: 0.4950 0.5050 0.9055
Tl: 0.5050 0.4950 0.4055
Tl: 0.6257 0.3743 0.6900
Tl: 0.6930 0.3070 0.3889
Tl: 0.7483 0.2517 0.0564
Tl: 0.9750 0.0250 0.7178
Cd: 0.4064 0.5936 0.6315
Cd: 0.5936 0.4064 0.1315

Properties
The calculation puts the mass density at 7739 kg/m³. Its formation energy is -0.479 kcal/mol of atoms.

---

Crystalline CaTmRe2O8 at its relaxed geometry, computed with PBE-GGA.

Cell lengths 5.9162, 5.9162, 6.6961 Å; angles 90.00, 90.00, 120.00 degrees
Fractional coordinates of all 12 atoms:
Ca: 0.0000 0.0000 0.0000
Tm: 0.0000 0.0000 0.5000
Re: 0.3333 0.6667 0.8015
Re: 0.6667 0.3333 0.1985
O: 0.1605 0.3210 0.7218
O: 0.1605 0.8395 0.7218
O: 0.3210 0.1605 0.2782
O: 0.3333 0.6667 0.0668
O: 0.6667 0.3333 0.9332
O: 0.6790 0.8395 0.7218
O: 0.8395 0.1605 0.2782
O: 0.8395 0.6790 0.2782

Properties
The raw formation energy comes out at -2.056 eV/atom. The calculation puts the mass density at 5804 kg/m³.

---

- The lowest mass density belongs to which entry?
  KBeAs2Br

---

- Look up the mass density of the first one.
  6510 kg/m³

---

- mass density of number 3 (Zr2CrNi)?
  6582 kg/m³